1.
VASP calculation (PBE) on Ce2Sn2Pd5 after structural relaxation.

The structure in CIF format:
```
data_Ce2Sn2Pd5
_chemical_formula_sum 'Ce4 Sn4 Pd10'
_cell_length_a 11.355
_cell_length_b 5.275
_cell_length_c 7.381
_cell_angle_alpha 90.00
_cell_angle_beta 119.33
_cell_angle_gamma 90.00
_space_group_name_H-M_alt 'C 1 2/m 1'
_space_group_IT_number 12
loop_
_space_group_symop_operation_xyz
'x,y,z'
'-x,-y,-z'
'-x,y,-z'
'x,-y,z'
'x+1/2,y+1/2,z'
'-x+1/2,-y+1/2,-z'
'-x+1/2,y+1/2,-z'
'x+1/2,-y+1/2,z'
loop_
_atom_site_label
_atom_site_type_symbol
_atom_site_fract_x
_atom_site_fract_y
_atom_site_fract_z
Ce1 Ce 0.144 0.000 0.321
Sn1 Sn 0.165 0.500 0.905
Pd1 Pd 0.000 0.500 0.500
Pd2 Pd 0.103 0.500 0.218
Pd3 Pd 0.123 0.000 0.698
```

Its uncorrected energy is -50.9 eV/f.u. Its crystal system is monoclinic.

2.
VASP calculation (PBE) on Mg2GaCoH after structural relaxation.

The structure in CIF format:
```
data_Mg2GaCoH
_chemical_formula_sum 'Mg2 Ga1 Co1 H1'
_cell_length_a 4.000
_cell_length_b 4.000
_cell_length_c 4.083
_cell_angle_alpha 90.00
_cell_angle_beta 90.00
_cell_angle_gamma 90.00
_space_group_name_H-M_alt 'P 4/m m m'
_space_group_IT_number 123
_space_group_name_Hall '-P 4 2'
loop_
_atom_site_label
_atom_site_type_symbol
_atom_site_fract_x
_atom_site_fract_y
_atom_site_fract_z
Mg1 Mg 0.000 0.500 0.000
Ga1 Ga 0.000 0.000 0.500
Co1 Co 0.500 0.500 0.500
H1 H 0.000 0.000 0.000
```

Its uncorrected energy is -16.1 eV/f.u. Its crystal system is tetragonal. As for the energy above the most stable polymorph in this dataset: 192 meV/atom.

3.
VASP calculation (PBE) on Cs2TlCd4Hg3 after structural relaxation.

The structure in CIF format:
```
data_Cs2TlCd4Hg3
_chemical_formula_sum 'Cs2 Tl1 Cd4 Hg3'
_cell_length_a 5.429
_cell_length_b 5.429
_cell_length_c 11.564
_cell_angle_alpha 90.00
_cell_angle_beta 90.00
_cell_angle_gamma 90.00
_space_group_name_H-M_alt 'P -4 m 2'
_space_group_IT_number 115
loop_
_space_group_symop_operation_xyz
'x,y,z'
'y,-x,-z'
'-x,-y,z'
'-y,x,-z'
'-x,y,z'
'-y,-x,-z'
'x,-y,z'
'y,x,-z'
loop_
_atom_site_label
_atom_site_type_symbol
_atom_site_fract_x
_atom_site_fract_y
_atom_site_fract_z
Cs1 Cs 0.000 0.500 0.247
Tl1 Tl 0.000 0.000 0.500
Cd1 Cd 0.000 0.000 0.000
Cd2 Cd 0.000 0.500 0.622
Cd3 Cd 0.500 0.500 0.000
Hg1 Hg 0.000 0.500 0.880
Hg2 Hg 0.500 0.500 0.500
```

Its uncorrected energy is -9.7 eV/f.u. Its crystal system is tetragonal.

> What is the uncorrected energy in the first record?

-50.9 eV/f.u.